## HfCuAg2 (PBE)

Data for a relaxed HfCuAg2 crystal.

Properties
ρ ... 11.14 g/cm3
DFT total energy ... -19.18 eV per formula unit

a = 6.486 Å, b = 6.486 Å, c = 6.486 Å
α = 90.00°, β = 90.00°, γ = 90.00°
Space group F-43m (No. 216)
Symmetry-distinct sites (fractional):
Hf 0.000 0.000 0.000 (multiplicity 4)
Cu 0.250 0.250 0.250 (multiplicity 4)
Ag 0.000 0.000 0.500 (multiplicity 4)
Ag 0.250 0.250 0.750 (multiplicity 4)